A plane-wave DFT calculation with PBE+U was carried out for a relaxed CaNiBi2O crystal.

a b c (Å): 4.8037 5.6459 4.8037
angles (deg): 90.00 90.00 90.00
Sites, in units of the cell vectors:
1 Bi 0.5000 0.0000 0.0000
2 Ni 0.0000 0.0000 0.0000
3 Bi 0.0000 0.0000 0.5000
4 Ca 0.0000 0.5000 0.0000
5 O 0.5000 0.5000 0.5000

- total moment (μB per cell) = 0.00
- raw total energy (eV per atom) = -3.129
- volume (Å³ per cell) = 130.3